(1)
Li2BeZn, relaxed, DFT PBE; crystal system = monoclinic; energy relative to the lowest polymorph listed for this composition = 26 kJ/mol of formula units; total moment = 0.0 μB per formula unit; raw total energy = -0.0779 hartree per atom; space-group type = P2/m, No. 10; formation enthalpy at 0 K = 0.0859 eV per atom; V = 12.76 Å³ per atom
1.0
-2.3622 -1.7499 3.3049
-0.7590 -1.8995 -1.5482
3.3761 -2.9135 0.8705
Be Zn Li
1 1 2
direct
0.5000 0.7500 0.7500
0.5000 0.2500 0.2500
0.0000 0.5074 0.5065
0.0000 0.9926 0.9935

---

(2)
Li2BeZn, relaxed, DFT PBE; crystal system = cubic; energy relative to the lowest polymorph listed for this composition = 42 kJ/mol of formula units; total moment = 0.0 μB per formula unit; raw total energy = -0.0764 hartree per atom; space-group type = Fm-3m, No. 225; formation enthalpy at 0 K = 0.1282 eV per atom; V = 12.80 Å³ per atom
1.0
0.0000 2.9473 2.9473
2.9473 0.0000 2.9473
2.9473 2.9473 0.0000
Li Zn Be
2 1 1
direct
0.2500 0.2500 0.2500
0.7500 0.7500 0.7500
0.5000 0.5000 0.5000
0.0000 0.0000 0.0000

---

(3)
LiBe2Zn, relaxed, DFT PBE; crystal system = orthorhombic; total moment = 0.0 μB per formula unit; raw total energy = -0.0893 hartree per atom; space-group type = Cmmm, No. 65; formation enthalpy at 0 K = 0.2305 eV per atom; V = 11.25 Å³ per atom
1.0
2.4270 0.0221 0.0000
-0.8172 2.2854 0.0000
0.0000 0.0000 8.0860
Zn Be Li
1 2 1
direct
0.5000 0.5000 0.7500
0.0000 0.0000 0.4994
0.0000 0.0000 0.0006
0.5000 0.5000 0.2500

---

(4)
Li3BeZn, relaxed, DFT PBE; crystal system = cubic; energy relative to the lowest polymorph listed for this composition = 0 kJ/mol of formula units; total moment = 0.0 μB per formula unit; raw total energy = -0.0614 hartree per atom; space-group type = Pm-3m, No. 221; formation enthalpy at 0 K = 0.4788 eV per atom; V = 18.09 Å³ per atom
1.0
4.4893 0.0000 0.0000
0.0000 4.4893 0.0000
0.0000 0.0000 4.4893
Li Be Zn
3 1 1
direct
0.0000 0.0000 0.5000
0.0000 0.5000 0.0000
0.5000 0.0000 0.0000
0.0000 0.0000 0.0000
0.5000 0.5000 0.5000

---

(5)
Li3BeZn, relaxed, DFT PBE; crystal system = cubic; energy relative to the lowest polymorph listed for this composition = 67 kJ/mol of formula units; total moment = 0.0 μB per formula unit; raw total energy = -0.0563 hartree per atom; space-group type = Pm-3m, No. 221; formation enthalpy at 0 K = 0.6172 eV per atom; V = 19.80 Å³ per atom
1.0
4.6260 0.0000 0.0000
0.0000 4.6260 0.0000
0.0000 0.0000 4.6260
Be Li Zn
1 3 1
direct
0.5000 0.5000 0.5000
0.5000 0.0000 0.0000
0.0000 0.5000 0.0000
0.0000 0.0000 0.5000
0.0000 0.0000 0.0000

---

(6)
LiBe2Zn, relaxed, DFT PBE; crystal system = orthorhombic; total moment = 0.0 μB per formula unit; raw total energy = -0.0902 hartree per atom; space-group type = Cmmm, No. 65; formation enthalpy at 0 K = 0.2058 eV per atom; V = 10.94 Å³ per atom
1.0
-3.8293 -0.4861 2.0862
1.6003 -3.8569 -1.3473
1.1875 -0.2485 2.1218
Zn Li Be
1 1 2
direct
0.0000 0.5000 0.5000
0.5000 0.0000 0.5000
0.0000 0.0000 0.0000
0.5000 0.5000 0.0000